No. 1
Sr3Ca: single point on PBEsol structure, meta-GGA SCAN. Values from VASP.

## Properties
Density of states at the Fermi level, states/eV/atom: 0.84
Magnetization, μB/f.u.: 0.6
Formation energy, eV per atom: 0.02

Structure (Quantum ESPRESSO input):
```
&SYSTEM
  ibrav = 0, nat = 4, ntyp = 2
/
ATOMIC_SPECIES
Sr 87.62 Sr.upf
Ca 40.08 Ca.upf
CELL_PARAMETERS angstrom
-0.4665 -3.8080 -1.4681
2.1900 -2.6640 6.2142
-7.0588 0.8162 0.1260
ATOMIC_POSITIONS angstrom
Sr -3.7627 -1.4959 -0.6710
Sr 0.8617 -3.2360 2.3731
Sr -2.4344 -0.9239 3.1701
Ca 0.0000 0.0000 0.0000
```

=====

No. 2
Sr2Ca: single point on PBEsol structure, meta-GGA SCAN. Values from VASP.

## Properties
Density of states at the Fermi level, states/eV/atom: 1.04
Magnetization, μB/f.u.: 0.0
Formation energy, eV per atom: 0.02
Polymorph energy (0 for the lowest one), meV per atom: 9

Structure (Quantum ESPRESSO input):
```
&SYSTEM
  ibrav = 0, nat = 6, ntyp = 2
/
ATOMIC_SPECIES
Sr 87.62 Sr.upf
Ca 40.08 Ca.upf
CELL_PARAMETERS angstrom
4.0677 0.0000 0.0000
0.0000 6.6793 0.0000
-2.0339 0.0000 10.6090
ATOMIC_POSITIONS angstrom
Sr 0.0000 5.0095 2.4764
Sr 0.0000 5.0095 9.3918
Sr 2.0339 1.6698 1.2173
Sr 2.0339 1.6698 8.1326
Ca 2.0339 5.0095 5.8780
Ca 0.0000 1.6698 4.7311
```

=====

No. 3
Sr3Ca: single point on PBEsol structure, meta-GGA SCAN. Values from VASP.

## Properties
Density of states at the Fermi level, states/eV/atom: 0.87
Magnetization, μB/f.u.: 0.5
Formation energy, eV per atom: 0.01

Structure (Quantum ESPRESSO input):
```
&SYSTEM
  ibrav = 0, nat = 4, ntyp = 2
/
ATOMIC_SPECIES
Sr 87.62 Sr.upf
Ca 40.08 Ca.upf
CELL_PARAMETERS angstrom
-1.5231 3.8361 0.0319
-5.2224 -2.0642 -1.1185
-1.4761 -0.6533 8.0979
ATOMIC_POSITIONS angstrom
Sr -4.4906 0.3912 5.5894
Sr -0.7380 -0.3267 4.0489
Sr -3.7310 0.7274 1.4219
Ca 0.0000 0.0000 0.0000
```

=====

No. 4
Sr2Ca: single point on PBEsol structure, meta-GGA SCAN. Values from VASP.

## Properties
Density of states at the Fermi level, states/eV/atom: 0.87
Magnetization, μB/f.u.: 0.4
Formation energy, eV per atom: 0.02
Polymorph energy (0 for the lowest one), meV per atom: 3

Structure (Quantum ESPRESSO input):
```
&SYSTEM
  ibrav = 0, nat = 3, ntyp = 2
/
ATOMIC_SPECIES
Sr 87.62 Sr.upf
Ca 40.08 Ca.upf
CELL_PARAMETERS angstrom
4.0912 0.0000 0.0000
0.0000 5.7291 0.0000
-2.0456 -2.8646 6.1224
ATOMIC_POSITIONS angstrom
Sr 0.0000 0.0000 4.1141
Sr 2.0456 2.8646 2.0083
Ca 0.0000 0.0000 0.0000
```

=====

No. 5
Sr3Ca4: single point on PBEsol structure, meta-GGA SCAN. Values from VASP.

## Properties
Density of states at the Fermi level, states/eV/atom: 0.72
Magnetization, μB/f.u.: 0.0
Formation energy, eV per atom: 0.01

Structure (Quantum ESPRESSO input):
```
&SYSTEM
  ibrav = 0, nat = 7, ntyp = 2
/
ATOMIC_SPECIES
Sr 87.62 Sr.upf
Ca 40.08 Ca.upf
CELL_PARAMETERS angstrom
4.5380 0.0000 0.0000
0.0000 4.5380 0.0000
-2.2690 -2.2690 15.2197
ATOMIC_POSITIONS angstrom
Sr 0.0000 0.0000 0.0000
Sr 2.2690 2.2690 6.3837
Sr 0.0000 0.0000 8.8361
Ca 2.2690 2.2690 11.0426
Ca 0.0000 0.0000 4.1771
Ca 2.2690 2.2690 2.2169
Ca 0.0000 0.0000 13.0028
```

=====

No. 6
SrCa: single point on PBEsol structure, meta-GGA SCAN. Values from VASP.

## Properties
Density of states at the Fermi level, states/eV/atom: 1.01
Magnetization, μB/f.u.: 0.1
Formation energy, eV per atom: 0.02
Polymorph energy (0 for the lowest one), meV per atom: 6

Structure (Quantum ESPRESSO input):
```
&SYSTEM
  ibrav = 0, nat = 6, ntyp = 2
/
ATOMIC_SPECIES
Sr 87.62 Sr.upf
Ca 40.08 Ca.upf
CELL_PARAMETERS angstrom
-3.8886 -0.6950 0.8057
3.8970 -4.9809 4.4253
-0.4135 8.1691 5.0512
ATOMIC_POSITIONS angstrom
Sr -1.4148 0.5606 3.7417
Sr -0.0582 4.4381 3.5477
Sr -1.4638 4.9990 7.3337
Ca -0.0050 -5.6383 5.1985
Ca 1.0305 1.9231 6.6326
Ca 1.4159 -1.9404 5.1599
```

=====

No. 7
Sr2Ca: single point on PBEsol structure, meta-GGA SCAN. Values from VASP.

## Properties
Density of states at the Fermi level, states/eV/atom: 0.86
Magnetization, μB/f.u.: 0.5
Formation energy, eV per atom: 0.01
Polymorph energy (0 for the lowest one), meV per atom: 0

Structure (Quantum ESPRESSO input):
```
&SYSTEM
  ibrav = 0, nat = 3, ntyp = 2
/
ATOMIC_SPECIES
Sr 87.62 Sr.upf
Ca 40.08 Ca.upf
CELL_PARAMETERS angstrom
-0.8466 3.9946 -0.2303
-3.0756 -0.4991 2.6492
7.3386 -0.2317 5.3191
ATOMIC_POSITIONS angstrom
Sr 1.6786 2.7739 5.6282
Sr 1.7378 0.4899 2.1098
Ca -1.9611 1.7478 1.2095
```

=====

No. 8
Sr2Ca: single point on PBEsol structure, meta-GGA SCAN. Values from VASP.

## Properties
Density of states at the Fermi level, states/eV/atom: 0.97
Magnetization, μB/f.u.: 0.3
Formation energy, eV per atom: 0.10
Polymorph energy (0 for the lowest one), meV per atom: 86

Structure (Quantum ESPRESSO input):
```
&SYSTEM
  ibrav = 0, nat = 6, ntyp = 2
/
ATOMIC_SPECIES
Sr 87.62 Sr.upf
Ca 40.08 Ca.upf
CELL_PARAMETERS angstrom
7.1797 0.0000 0.0000
3.5899 6.5000 0.0000
3.5899 0.0000 6.5000
ATOMIC_POSITIONS angstrom
Sr 10.7696 3.2500 5.2972
Sr 3.5899 3.2500 1.2028
Sr 7.1797 5.2972 3.2500
Sr 7.1797 1.2028 3.2500
Ca 1.7949 0.0000 0.0000
Ca 5.3848 0.0000 0.0000
```

=====

Total DFT energy (no corrections) (Ha/atom)
-0.70213; -0.66331; -0.70225; -0.66356; -0.55329; -0.58617; -0.66366; -0.66048